First-principles (GGA-PBE) data for a geometry-optimized Sn2SbPd3 structure, as listed in the Alexandria database.

Uncorrected formation energy: -352 meV/atom
Symmetry: C2/c, No. 15
Volume: 244 Å³ per cell
E_tot: -4.970 eV/atom

Cell lengths 5.436, 7.625, 6.750 Å; angles 106.10, 113.74, 90.00 degrees
Fractional positions:
Sn 0.306 0.901 0.617
Pd 0.867 0.935 0.737
Sn 0.689 0.599 0.383
Sb 0.209 0.250 0.000
Pd 0.695 0.250 0.000
Pd 0.131 0.565 0.263
Sn 0.694 0.099 0.383
Pd 0.869 0.435 0.737
Sb 0.791 0.750 0.000
Sn 0.311 0.401 0.617
Pd 0.305 0.750 0.000
Pd 0.133 0.065 0.263

***

First-principles (GGA-PBE) data for a geometry-optimized Sn6SbPd12 structure, as listed in the Alexandria database.

Uncorrected formation energy: -349 meV/atom
Symmetry: R-3, No. 148
Volume: 379 Å³ per cell
E_tot: -5.110 eV/atom

Cell lengths 7.387, 7.387, 7.387 Å; angles 100.80, 100.80, 100.80 degrees
Fractional positions:
Sn 0.747 0.845 0.500
Pd 0.016 0.833 0.299
Pd 0.984 0.167 0.701
Pd 0.500 0.617 0.179
Pd 0.179 0.500 0.617
Pd 0.383 0.821 0.500
Sn 0.500 0.747 0.845
Sn 0.253 0.155 0.500
Pd 0.701 0.984 0.167
Pd 0.167 0.701 0.984
Sn 0.155 0.500 0.253
Pd 0.500 0.383 0.821
Pd 0.833 0.299 0.016
Sn 0.500 0.253 0.155
Sn 0.845 0.500 0.747
Pd 0.299 0.016 0.833
Pd 0.617 0.179 0.500
Sb 0.000 0.000 0.000
Pd 0.821 0.500 0.383

***

First-principles (GGA-PBE) data for a geometry-optimized SnSb2Pd3 structure, as listed in the Alexandria database.

Uncorrected formation energy: -297 meV/atom
Symmetry: C2/c, No. 15
Volume: 247 Å³ per cell
Offset from the most stable computed form: 104 meV/atom
E_tot: -4.935 eV/atom

Cell lengths 7.407, 6.916, 6.916 Å; angles 130.71, 99.37, 99.37 degrees
Fractional positions:
Sb 0.750 0.070 0.930
Pd 0.547 0.427 0.241
Pd 0.047 0.241 0.427
Pd 0.453 0.573 0.759
Sn 0.250 0.592 0.408
Sn 0.750 0.408 0.592
Pd 0.500 0.000 0.500
Sb 0.250 0.215 0.785
Pd 0.000 0.500 0.000
Sb 0.750 0.785 0.215
Sb 0.250 0.930 0.070
Pd 0.953 0.759 0.573